BaCaTl3 | PBE-GGA | relaxed

Results
Energy relative to the lowest polymorph listed for this composition   0.0 meV per atom
ΔH_f (0 K)   -0.01 eV per atom
Energy   -11.10 eV per cell
DOS(E_F)   4.0 states/eV/f.u.
Magnetization   0.00 Bohr magnetons per cell

abc: 5.890 5.890 5.890
angles: 90.00 90.00 90.00
Sites, in units of the cell vectors:
Ba: 0.000 0.000 0.000
Ca: 0.500 0.500 0.500
Tl: 0.000 0.500 0.500
Tl: 0.500 0.000 0.500
Tl: 0.500 0.500 0.000